(1)
DyTh2Ge2Rh7 after structural relaxation. Source: Alexandria via LeMat-Bulk, functional PBE.

Calculated values
The value obtained for the density of states at the Fermi level is 6.985 states/eV per cell. As for the crystal system: monoclinic. Its space group is C2/m. The electronic total energy is -7.43 eV per atom. As for the mass density: 11.2 Mg/m³. Its formation energy is -0.756 eV per atom.

Cell: 4.1374 4.1374 13.0580 Å, 94.95 94.95 89.02°
Last column: nearest neighbours and their distance in Å.
Sites, in units of the cell vectors:
Dy (0.0000, 0.0000, 0.0000)  12 Rh 2.90-2.95
Th (0.0825, 0.0825, 0.3474)  6 Rh 2.86-3.18, 3 Ge 3.13
Th (0.9175, 0.9175, 0.6526)  6 Rh 2.86-3.18, 3 Ge 3.13
Ge (0.4340, 0.4340, 0.7431)  5 Rh 2.42-2.44
Ge (0.5659, 0.5659, 0.2569)  5 Rh 2.42-2.44
Rh (0.0410, 0.5415, 0.1587)  2 Ge 2.42-2.43
Rh (0.3285, 0.3285, 0.5565)  1 Ge 2.44, 1 Rh 2.64
Rh (0.4585, 0.9590, 0.8413)  2 Ge 2.42-2.43
Rh (0.5000, 0.5000, 0.0000)  4 Dy 2.90-2.95, 8 Rh 2.91-2.92
Rh (0.5415, 0.0410, 0.1587)  2 Ge 2.42-2.43
Rh (0.6715, 0.6715, 0.4435)  1 Ge 2.44, 1 Rh 2.64
Rh (0.9590, 0.4585, 0.8413)  2 Ge 2.42-2.43

***

(2)
Mg2AlIn after structural relaxation. Source: Alexandria via LeMat-Bulk, functional PBE.

Calculated values
The value obtained for the density of states at the Fermi level is 1.452 states/eV per cell. As for the crystal system: tetragonal. Its space group is P4/mmm. The electronic total energy is -2.45 eV per atom. As for the mass density: 3.7 Mg/m³. Its formation energy is -0.032 eV per atom.

Cell: 3.1310 3.1310 8.6896 Å, 90.00 90.00 90.00°
Last column: nearest neighbours and their distance in Å.
Sites, in units of the cell vectors:
Mg (0.0000, 0.0000, 0.2370)  4 Al 3.02, 4 Mg 3.13, 4 In 3.18
Mg (0.0000, 0.0000, 0.7630)  4 Al 3.02, 4 Mg 3.13, 4 In 3.18
Al (0.5000, 0.5000, 0.0000)  8 Mg 3.02, 4 Al 3.13
In (0.5000, 0.5000, 0.5000)  4 In 3.13, 8 Mg 3.18

***

(3)
KMg2Se after structural relaxation. Source: Alexandria via LeMat-Bulk, functional PBE.

Calculated values
The value obtained for the density of states at the Fermi level is 2.681 states/eV per cell. As for the crystal system: orthorhombic. Its space group is Cmmm. The electronic total energy is -2.20 eV per atom. As for the mass density: 2.3 Mg/m³. Its uncorrected formation energy is -0.26 eV/atom.

Cell: 3.6038 3.6038 9.1407 Å, 90.00 90.00 95.37°
Last column: nearest neighbours and their distance in Å.
Sites, in units of the cell vectors:
K (0.0000, 0.0000, 0.0000)  4 K 3.60, 8 Mg 3.88-4.03
Mg (0.5000, 0.5000, 0.3312)  4 Se 2.88-3.08, 1 Mg 3.09
Mg (0.5000, 0.5000, 0.6688)  4 Se 2.88-3.08, 1 Mg 3.09
Se (0.0000, 0.0000, 0.5000)  8 Mg 2.88-3.08